# GGA-PBE BaMnAs2, optimized geometry
# Space group = No. 216
# Formation energy = 220.5 meV/atom
# Crystal system = cubic
# Electronic total energy = -4.8773 eV per atom
data_BaMnAs2
_chemical_formula_sum 'Ba1 Mn1 As2'
_cell_length_a 5.1678
_cell_length_b 5.1678
_cell_length_c 5.1678
_cell_angle_alpha 60.00
_cell_angle_beta 60.00
_cell_angle_gamma 60.00
_space_group_name_H-M_alt 'P 1'
_space_group_IT_number 1
loop_
_space_group_symop_operation_xyz
'x,y,z'
loop_
_atom_site_label
_atom_site_fract_x
_atom_site_fract_y
_atom_site_fract_z
Ba1 0.5000 0.5000 0.5000
Mn1 0.7500 0.7500 0.7500
As1 0.0000 0.0000 0.0000
As2 0.2500 0.2500 0.2500



# GGA-PBE BaMnAs2, optimized geometry
# Space group = No. 71
# Formation energy = -408.9 meV/atom
# Crystal system = orthorhombic
# Electronic total energy = -5.5067 eV per atom
data_BaMnAs2
_chemical_formula_sum 'Ba1 Mn1 As2'
_cell_length_a 5.5103
_cell_length_b 5.5103
_cell_length_c 5.5103
_cell_angle_alpha 134.91
_cell_angle_beta 106.26
_cell_angle_gamma 90.80
_space_group_name_H-M_alt 'P 1'
_space_group_IT_number 1
loop_
_space_group_symop_operation_xyz
'x,y,z'
loop_
_atom_site_label
_atom_site_fract_x
_atom_site_fract_y
_atom_site_fract_z
As1 0.4238 0.4238 0.0000
Mn1 0.2500 0.7500 0.5000
Ba1 0.7500 0.2500 0.5000
As2 0.0762 0.0762 0.0000